## Li3ZrW (PBE)

Data for a geometry-optimized Li3ZrW structure.

Structure (CIF):
```
data_Li3ZrW
_cell_length_a 4.623
_cell_length_b 4.623
_cell_length_c 4.623
_cell_angle_alpha 90.00
_cell_angle_beta 90.00
_cell_angle_gamma 90.00
_symmetry_space_group_name_H-M 'P 1'
_symmetry_Int_Tables_number 1
loop_
_symmetry_equiv_pos_as_xyz
'x,y,z'
loop_
_atom_site_label
_atom_site_type_symbol
_atom_site_fract_x
_atom_site_fract_y
_atom_site_fract_z
Li1 Li 0.000 0.000 0.500
Li2 Li 0.000 0.500 0.000
Li3 Li 0.500 0.000 0.000
Zr1 Zr 0.500 0.500 0.500
W1 W 0.000 0.000 0.000
```

- ΔH_f (0 K) (meV/atom) = 1507
- excess energy over the best structure of this formula in the dataset (meV/atom) = 0

=====

## Ba2MgSc (PBE)

Data for a geometry-optimized Ba2MgSc structure.

Structure (CIF):
```
data_Ba2MgSc
_cell_length_a 12.208
_cell_length_b 12.208
_cell_length_c 12.208
_cell_angle_alpha 18.46
_cell_angle_beta 18.46
_cell_angle_gamma 18.46
_symmetry_space_group_name_H-M 'P 1'
_symmetry_Int_Tables_number 1
loop_
_symmetry_equiv_pos_as_xyz
'x,y,z'
loop_
_atom_site_label
_atom_site_type_symbol
_atom_site_fract_x
_atom_site_fract_y
_atom_site_fract_z
Ba1 Ba 0.250 0.250 0.250
Ba2 Ba 0.750 0.750 0.750
Mg1 Mg 0.000 0.000 0.000
Sc1 Sc 0.500 0.500 0.500
```

- ΔH_f (0 K) (meV/atom) = 328

=====

## LiPtCl (PBE)

Data for a geometry-optimized LiPtCl structure.

Structure (CIF):
```
data_LiPtCl
_cell_length_a 4.839
_cell_length_b 5.014
_cell_length_c 6.116
_cell_angle_alpha 75.34
_cell_angle_beta 68.35
_cell_angle_gamma 76.16
_symmetry_space_group_name_H-M 'P 1'
_symmetry_Int_Tables_number 1
loop_
_symmetry_equiv_pos_as_xyz
'x,y,z'
loop_
_atom_site_label
_atom_site_type_symbol
_atom_site_fract_x
_atom_site_fract_y
_atom_site_fract_z
Li1 Li 0.000 0.000 0.000
Li2 Li 0.389 0.502 0.588
Pt1 Pt 0.179 0.461 0.039
Pt2 Pt 0.699 0.589 0.930
Cl1 Cl 0.485 0.856 0.230
Cl2 Cl 0.917 0.333 0.624
```

- formation energy (no corrections) (eV per atom) = -0.574
- excess energy over the best structure of this formula in the dataset (meV/atom) = 253

=====

Q: What is the formula in the third record?
A: LiPtCl